No. 1
# PBE Cd6Ag3Rh, relaxed
data_Cd6Ag3Rh
_space_group_name_H-M_alt 'P 1 21/m 1'
_space_group_IT_number 11
_space_group_name_Hall '-P 2yb'
_cell_length_a 8.0453
_cell_length_b 4.8061
_cell_length_c 10.6951
_cell_angle_alpha 90.00
_cell_angle_beta 110.43
_cell_angle_gamma 90.00
loop_
_atom_site_label
_atom_site_fract_x
_atom_site_fract_y
_atom_site_fract_z
Cd1 0.0019 0.2500 0.1611
Cd2 0.0101 0.7500 0.3363
Cd3 0.2199 0.7500 0.1431
Cd4 0.2338 0.2500 0.4807
Cd5 0.3968 0.7500 0.9267
Cd6 0.4356 0.2500 0.2960
Ag1 0.1806 0.7500 0.6284
Ag2 0.2067 0.2500 0.9716
Ag3 0.3904 0.2500 0.7678
Rh1 0.3890 0.7500 0.4252
# Formation energy in eV/atom: -0.04
# Calculated density in g/cm³: 9.44

---

No. 2
# PBE Cd4Ag3Rh2, relaxed
data_Cd4Ag3Rh2
_space_group_name_H-M_alt 'P -1'
_space_group_IT_number 2
_space_group_name_Hall '-P 1'
_cell_length_a 4.5674
_cell_length_b 4.6813
_cell_length_c 8.6753
_cell_angle_alpha 87.73
_cell_angle_beta 89.95
_cell_angle_gamma 60.83
loop_
_atom_site_label
_atom_site_fract_x
_atom_site_fract_y
_atom_site_fract_z
Cd1 0.0009 0.4978 0.3270
Cd2 0.3334 0.8331 0.1154
Ag1 0.0000 0.5000 0.0000
Ag2 0.3329 0.8341 0.4480
Rh1 0.3339 0.8324 0.7869
# Formation energy in eV/atom: -0.05
# Calculated density in g/cm³: 10.05

---

No. 3
# PBE Cd3Ag2Rh2, relaxed
data_Cd3Ag2Rh2
_space_group_name_H-M_alt 'C m m m'
_space_group_IT_number 65
_space_group_name_Hall '-C 2 2'
_cell_length_a 3.0791
_cell_length_b 27.2410
_cell_length_c 3.0293
_cell_angle_alpha 90.00
_cell_angle_beta 90.00
_cell_angle_gamma 90.00
loop_
_atom_site_label
_atom_site_fract_x
_atom_site_fract_y
_atom_site_fract_z
Cd1 0.0000 0.0000 0.0000
Cd2 0.0000 0.1317 0.0000
Ag1 0.0000 0.2934 0.5000
Rh1 0.0000 0.4335 0.5000
# Formation energy in eV/atom: -0.02
# Calculated density in g/cm³: 9.92